# 1
Below is an optimized crystal structure of BaZrTa2, with properties calculated at the PBE level.

```
BaZrTa2
1.0
-1.005 1.054 -2.669
-2.580 -0.695 1.450
-0.389 9.904 4.056
Ba Ta Zr
1 2 1
direct
0.500 0.500 0.750
0.000 0.000 0.038
0.000 0.000 0.462
0.500 0.500 0.250
```

- Electronic total energy: -7.796 eV/atom
- Space-group type: Cmmm (65)
- Polymorph energy (0 for the lowest one): 0.278 eV per atom
- M_tot: 0.00 μB/f.u.
- ΔH_f (0 K): 2.990 eV per formula unit

***

# 2
Below is an optimized crystal structure of BaTb6, with properties calculated at the PBE level.

```
BaTb6
1.0
7.241 0.000 0.000
-2.414 6.827 0.000
-2.414 -3.413 5.912
Ba Tb
1 6
direct
0.000 0.000 0.000
0.250 0.750 0.500
0.500 0.750 0.250
0.250 0.500 0.750
0.750 0.250 0.500
0.500 0.250 0.750
0.750 0.500 0.250
```

- Electronic total energy: -3.038 eV/atom
- Space-group type: Im-3m (229)
- M_tot: 0.00 μB/f.u.
- ΔH_f (0 K): 8.440 eV per formula unit

***

# 3
Below is an optimized crystal structure of BaTb2, with properties calculated at the PBE level.

```
BaTb2
1.0
-5.227 -4.605 -1.324
-1.014 -2.414 -6.590
1.530 -6.741 -1.581
Tb Ba
4 2
direct
0.125 0.625 0.625
0.625 0.125 0.625
0.625 0.625 0.625
0.625 0.625 0.125
0.000 0.000 0.000
0.250 0.250 0.250
```

- Electronic total energy: -3.404 eV/atom
- Space-group type: Fd-3m (227)
- Polymorph energy (0 for the lowest one): 0.142 eV per atom
- M_tot: 0.00 μB/f.u.
- ΔH_f (0 K): 0.971 eV per formula unit

***

# 4
Below is an optimized crystal structure of BaTb2, with properties calculated at the PBE level.

```
BaTb2
1.0
-1.277 -2.253 -2.753
3.552 -0.971 -0.853
-1.571 -4.649 7.127
Tb Ba
2 1
direct
0.682 0.682 0.364
0.318 0.318 0.636
0.000 0.000 0.000
```

- Electronic total energy: -3.546 eV/atom
- Space-group type: I4/mmm (139)
- Polymorph energy (0 for the lowest one): 0.000 eV per atom
- M_tot: 0.00 μB/f.u.
- ΔH_f (0 K): 0.545 eV per formula unit